# Ba2FePbO5

Crystalline Ba2FePbO5 at its relaxed geometry (PBE+U, Alexandria via LeMat-Bulk).

DFT total energy (eV/atom): -6.04

The structure in POSCAR format:
```
Ba2FePbO5
1.0
3.6539 0.0000 0.0000
-1.8270 7.6098 0.0000
0.0000 0.0000 11.4672
Pb O Fe Ba
2 10 2 4
Cartesian
1.8270 4.4415 6.1119
0.0000 3.1683 0.3783
0.0000 7.5290 9.0202
0.0000 0.4893 0.0129
0.0000 4.3498 7.6386
1.8270 0.0808 3.2866
0.0000 5.0175 4.5677
0.0000 5.3744 0.0491
1.8270 3.2600 1.9050
1.8270 2.5923 10.3012
1.8270 7.1205 5.7465
1.8270 2.2354 5.7826
0.0000 6.9198 4.9816
1.8270 0.6901 10.7152
0.0000 2.0865 3.7299
0.0000 1.5609 7.7384
1.8270 6.0489 2.0048
1.8270 5.5234 9.4634
```